DFT (PBE-GGA) results for Na3AcPu2Se6 after structural relaxation.

Structure (CIF):
```
data_Na3AcPu2Se6
_cell_length_a 7.481
_cell_length_b 12.961
_cell_length_c 7.409
_cell_angle_alpha 90.00
_cell_angle_beta 109.77
_cell_angle_gamma 90.00
_symmetry_space_group_name_H-M 'C 1 2/m 1'
_symmetry_Int_Tables_number 12
_symmetry_space_group_name_Hall '-C 2y'
loop_
_atom_site_label
_atom_site_fract_x
_atom_site_fract_y
_atom_site_fract_z
_atom_site_occupancy
Na1 0.000 0.000 0.000 1
Na2 0.000 0.334 0.000 1
Ac1 0.000 0.500 0.500 1
Pu1 0.000 0.167 0.500 1
Se1 0.229 0.000 0.737 1
Se2 0.246 0.175 0.266 1
```

## Properties
Fermi-level density of states = 44.93 states/eV/cell
E_form (uncorrected) = -17.95 eV per formula unit

***

DFT (PBE-GGA) results for NaAcPuSn after structural relaxation.

Structure (CIF):
```
data_NaAcPuSn
_cell_length_a 7.867
_cell_length_b 7.867
_cell_length_c 7.867
_cell_angle_alpha 90.00
_cell_angle_beta 90.00
_cell_angle_gamma 90.00
_symmetry_space_group_name_H-M 'F -4 3 m'
_symmetry_Int_Tables_number 216
_symmetry_space_group_name_Hall 'F -4 2 3'
loop_
_atom_site_label
_atom_site_fract_x
_atom_site_fract_y
_atom_site_fract_z
_atom_site_occupancy
Na1 0.000 0.000 0.000 1
Ac1 0.250 0.250 0.250 1
Pu1 0.000 0.000 0.500 1
Sn1 0.250 0.250 0.750 1
```

## Properties
calculated formation energy = 0.0833 eV per atom
Fermi-level density of states = 50.24 states/eV/cell

***

DFT (PBE-GGA) results for Na2AcPuTe4 after structural relaxation.

Structure (CIF):
```
data_Na2AcPuTe4
_cell_length_a 7.985
_cell_length_b 4.655
_cell_length_c 8.065
_cell_angle_alpha 90.00
_cell_angle_beta 109.80
_cell_angle_gamma 90.00
_symmetry_space_group_name_H-M 'P 1 2/m 1'
_symmetry_Int_Tables_number 10
_symmetry_space_group_name_Hall '-P 2y'
loop_
_atom_site_label
_atom_site_fract_x
_atom_site_fract_y
_atom_site_fract_z
_atom_site_occupancy
Na1 0.000 0.000 0.000 1
Na2 0.000 0.500 0.500 1
Ac1 0.500 0.000 0.500 1
Pu1 0.500 0.500 0.000 1
Te1 0.253 0.500 0.239 1
Te2 0.264 0.000 0.768 1
```

## Properties
Fermi-level density of states = 14.28 states/eV/cell
E_form (uncorrected) = -9.54 eV per formula unit

***

DFT (PBE-GGA) results for NaAc2Pu3Te6 after structural relaxation.

Structure (CIF):
```
data_NaAc2Pu3Te6
_cell_length_a 20.029
_cell_length_b 4.559
_cell_length_c 9.213
_cell_angle_alpha 90.00
_cell_angle_beta 103.83
_cell_angle_gamma 90.00
_symmetry_space_group_name_H-M 'C 1 2/m 1'
_symmetry_Int_Tables_number 12
_symmetry_space_group_name_Hall '-C 2y'
loop_
_atom_site_label
_atom_site_fract_x
_atom_site_fract_y
_atom_site_fract_z
_atom_site_occupancy
Na1 0.000 0.000 0.000 1
Ac1 0.164 0.500 0.331 1
Pu1 0.000 0.000 0.500 1
Pu2 0.168 0.500 0.834 1
Te1 0.005 0.500 0.746 1
Te2 0.163 0.000 0.594 1
Te3 0.167 0.000 0.070 1
```

## Properties
Fermi-level density of states = 89.89 states/eV/cell
E_form (uncorrected) = -14.58 eV per formula unit

***

DFT (PBE-GGA) results for NaAcPu2Te4 after structural relaxation.

Structure (CIF):
```
data_NaAcPu2Te4
_cell_length_a 7.911
_cell_length_b 4.559
_cell_length_c 7.998
_cell_angle_alpha 90.00
_cell_angle_beta 109.30
_cell_angle_gamma 90.00
_symmetry_space_group_name_H-M 'P 1 2/m 1'
_symmetry_Int_Tables_number 10
_symmetry_space_group_name_Hall '-P 2y'
loop_
_atom_site_label
_atom_site_fract_x
_atom_site_fract_y
_atom_site_fract_z
_atom_site_occupancy
Na1 0.000 0.000 0.000 1
Ac1 0.500 0.500 0.000 1
Pu1 0.000 0.500 0.500 1
Pu2 0.500 0.000 0.500 1
Te1 0.239 0.000 0.736 1
Te2 0.252 0.500 0.262 1
```

## Properties
Fermi-level density of states = 32.83 states/eV/cell
E_form (uncorrected) = -9.39 eV per formula unit

***

DFT (PBE-GGA) results for Rb2NaAc after structural relaxation.

Structure (CIF):
```
data_Rb2NaAc
_cell_length_a 4.1004
_cell_length_b 4.1004
_cell_length_c 46.2984
_cell_angle_alpha 90.00
_cell_angle_beta 90.00
_cell_angle_gamma 120.00
_symmetry_space_group_name_H-M 'R -3 m'
_symmetry_Int_Tables_number 166
_symmetry_space_group_name_Hall '-R 3 2"'
loop_
_atom_site_label
_atom_site_fract_x
_atom_site_fract_y
_atom_site_fract_z
_atom_site_occupancy
Rb1 0.0000 0.0000 0.0879 1
Na1 0.0000 0.0000 0.5000 1
Ac1 0.0000 0.0000 0.0000 1
```

## Properties
calculated formation energy = 0.2791 eV per atom
Fermi-level density of states = 9.60 states/eV/cell